1.
PuMg4In15: relaxed, GGA-PBE.

Unit cell a=4.646 b=4.646 c=23.255 alpha=90.00 beta=90.00 gamma=90.00
Fractional positions:
In: 0.500 0.000 0.101
In: 0.000 0.500 0.700
In: 0.000 0.500 0.101
In: 0.500 0.000 0.700
In: 0.000 0.500 0.899
In: 0.500 0.000 0.300
In: 0.500 0.500 0.000
In: 0.000 0.500 0.500
In: 0.500 0.500 0.798
In: 0.500 0.000 0.899
In: 0.000 0.500 0.300
In: 0.500 0.500 0.202
In: 0.500 0.500 0.402
In: 0.500 0.000 0.500
In: 0.500 0.500 0.598
Mg: 0.000 0.000 0.400
Mg: 0.000 0.000 0.197
Mg: 0.000 0.000 0.803
Mg: 0.000 0.000 0.600
Pu: 0.000 0.000 0.000

Output
* energy of formation: -63 meV/atom

=====

2.
EuLuIr: relaxed, GGA-PBE.

Unit cell a=4.820 b=4.820 c=4.820 alpha=60.00 beta=60.00 gamma=60.00
Fractional positions:
Eu: 0.500 0.500 0.500
Ir: 0.250 0.250 0.250
Lu: 0.000 0.000 0.000

Output
* excess energy over the best structure of this formula in the dataset: 0.0 meV/atom
* energy of formation: -529 meV/atom

=====

3.
Sr2TaPbO: relaxed, GGA-PBE.

Unit cell a=6.488 b=4.359 c=6.488 alpha=90.00 beta=90.00 gamma=90.00
Fractional positions:
Sr: 0.500 0.000 0.000
Sr: 0.000 0.000 0.500
Pb: 0.000 0.000 0.000
O: 0.000 0.500 0.000
Ta: 0.500 0.500 0.500

Output
* formation energy without anion corrections: 877 meV per atom

=====

| no. | total magnetic moment (μB/f.u.) |
| --- | --- |
| 1 | 5.88 |
| 2 | 7.01 |
| 3 | 3.78 |